# 1
Compound: PrNd3Cd6
Source: Alexandria via LeMat-Bulk
Functional: PBE
Structure: relaxed

Computed properties:
Theoretical density, g/cm3: 7.552
Space-group type: No. 11
ΔE_f, eV/atom: -0.29
V, Å³ per cell: 548.9
Fermi-level density of states, states/eV per atom: 0.866

The structure in CIF format:
```
data_PrNd3Cd6
_chemical_formula_sum 'Pr2 Nd6 Cd12'
_cell_length_a 5.293
_cell_length_b 9.496
_cell_length_c 11.368
_cell_angle_alpha 106.12
_cell_angle_beta 90.00
_cell_angle_gamma 90.00
_space_group_name_H-M_alt 'P 1'
_space_group_IT_number 1
loop_
_space_group_symop_operation_xyz
'x,y,z'
loop_
_atom_site_label
_atom_site_fract_x
_atom_site_fract_y
_atom_site_fract_z
Pr1 0.250 0.943 0.611
Pr2 0.750 0.057 0.389
Nd1 0.250 0.523 0.391
Nd2 0.750 0.477 0.609
Nd3 0.250 0.351 0.789
Nd4 0.750 0.649 0.211
Nd5 0.250 0.765 0.001
Nd6 0.750 0.235 0.999
Cd1 0.250 0.450 0.091
Cd2 0.750 0.550 0.909
Cd3 0.250 0.145 0.193
Cd4 0.750 0.855 0.807
Cd5 0.250 0.661 0.709
Cd6 0.750 0.339 0.291
Cd7 0.250 0.240 0.493
Cd8 0.750 0.760 0.507
Cd9 0.250 0.852 0.305
Cd10 0.750 0.148 0.695
Cd11 0.250 0.052 0.902
Cd12 0.750 0.948 0.098
```

# 2
Compound: Pr6Nd3Cd
Source: Alexandria via LeMat-Bulk
Functional: PBE
Structure: relaxed

Computed properties:
Theoretical density, g/cm3: 6.629
Space-group type: No. 36
ΔE_f, eV/atom: 0.03
V, Å³ per cell: 696.7
ΔE to the lowest computed polymorph, eV/atom: 0.054
Fermi-level density of states, states/eV per atom: 1.372

The structure in CIF format:
```
data_Pr6Nd3Cd
_chemical_formula_sum 'Pr12 Nd6 Cd2'
_cell_length_a 6.450
_cell_length_b 11.456
_cell_length_c 11.456
_cell_angle_alpha 124.60
_cell_angle_beta 90.00
_cell_angle_gamma 90.00
_space_group_name_H-M_alt 'P 1'
_space_group_IT_number 1
loop_
_space_group_symop_operation_xyz
'x,y,z'
loop_
_atom_site_label
_atom_site_fract_x
_atom_site_fract_y
_atom_site_fract_z
Pr1 0.059 0.709 0.639
Pr2 0.559 0.639 0.709
Pr3 0.377 0.573 0.964
Pr4 0.877 0.964 0.573
Pr5 0.387 0.946 0.054
Pr6 0.660 0.296 0.704
Pr7 0.160 0.704 0.296
Pr8 0.887 0.054 0.946
Pr9 0.377 0.036 0.427
Pr10 0.877 0.427 0.036
Pr11 0.059 0.361 0.291
Pr12 0.559 0.291 0.361
Nd1 0.404 0.957 0.705
Nd2 0.904 0.705 0.957
Nd3 0.091 0.393 0.607
Nd4 0.591 0.607 0.393
Nd5 0.904 0.043 0.295
Nd6 0.404 0.295 0.043
Cd1 0.168 0.238 0.762
Cd2 0.668 0.762 0.238
```

# 3
Compound: Pr8NdCd2
Source: Alexandria via LeMat-Bulk
Functional: PBE
Structure: relaxed

Computed properties:
Theoretical density, g/cm3: 6.620
Space-group type: No. 12
ΔE_f, eV/atom: 0.08
V, Å³ per cell: 375.3
ΔE to the lowest computed polymorph, eV/atom: 0.152
Fermi-level density of states, states/eV per atom: 1.191

The structure in CIF format:
```
data_Pr8NdCd2
_chemical_formula_sum 'Pr8 Nd1 Cd2'
_cell_length_a 6.511
_cell_length_b 9.554
_cell_length_c 9.554
_cell_angle_alpha 43.26
_cell_angle_beta 68.85
_cell_angle_gamma 68.85
_space_group_name_H-M_alt 'P 1'
_space_group_IT_number 1
loop_
_space_group_symop_operation_xyz
'x,y,z'
loop_
_atom_site_label
_atom_site_fract_x
_atom_site_fract_y
_atom_site_fract_z
Pr1 0.738 0.203 0.648
Pr2 0.262 0.352 0.797
Pr3 0.913 0.229 0.229
Pr4 0.087 0.771 0.771
Pr5 0.738 0.648 0.203
Pr6 0.262 0.797 0.352
Pr7 0.307 0.362 0.362
Pr8 0.693 0.638 0.638
Nd1 0.000 0.000 0.000
Cd1 0.506 0.157 0.157
Cd2 0.494 0.843 0.843
```

# 4
Compound: Pr7Nd12Cd
Source: Alexandria via LeMat-Bulk
Functional: PBE
Structure: relaxed

Computed properties:
Theoretical density, g/cm3: 6.639
Space-group type: No. 148
ΔE_f, eV/atom: 0.15
V, Å³ per cell: 707.8
Fermi-level density of states, states/eV per atom: 1.653

The structure in CIF format:
```
data_Pr7Nd12Cd
_chemical_formula_sum 'Pr7 Nd12 Cd1'
_cell_length_a 8.916
_cell_length_b 8.916
_cell_length_c 8.916
_cell_angle_alpha 88.28
_cell_angle_beta 88.28
_cell_angle_gamma 88.28
_space_group_name_H-M_alt 'P 1'
_space_group_IT_number 1
loop_
_space_group_symop_operation_xyz
'x,y,z'
loop_
_atom_site_label
_atom_site_fract_x
_atom_site_fract_y
_atom_site_fract_z
Pr1 0.853 0.611 0.924
Pr2 0.389 0.076 0.147
Pr3 0.076 0.147 0.389
Pr4 0.500 0.500 0.500
Pr5 0.924 0.853 0.611
Pr6 0.611 0.924 0.853
Pr7 0.147 0.389 0.076
Nd1 0.871 0.251 0.741
Nd2 0.749 0.259 0.129
Nd3 0.613 0.141 0.500
Nd4 0.859 0.500 0.387
Nd5 0.259 0.129 0.749
Nd6 0.500 0.387 0.859
Nd7 0.500 0.613 0.141
Nd8 0.741 0.871 0.251
Nd9 0.141 0.500 0.613
Nd10 0.387 0.859 0.500
Nd11 0.251 0.741 0.871
Nd12 0.129 0.749 0.259
Cd1 0.000 0.000 0.000
```

# 5
Compound: Pr5Nd12Cd2
Source: Alexandria via LeMat-Bulk
Functional: PBE
Structure: relaxed

Computed properties:
Theoretical density, g/cm3: 6.798
Space-group type: No. 12
ΔE_f, eV/atom: 0.03
V, Å³ per cell: 649.8
Fermi-level density of states, states/eV per atom: 1.383

The structure in CIF format:
```
data_Pr5Nd12Cd2
_chemical_formula_sum 'Pr5 Nd12 Cd2'
_cell_length_a 9.390
_cell_length_b 9.231
_cell_length_c 8.725
_cell_angle_alpha 93.17
_cell_angle_beta 90.00
_cell_angle_gamma 120.57
_space_group_name_H-M_alt 'P 1'
_space_group_IT_number 1
loop_
_space_group_symop_operation_xyz
'x,y,z'
loop_
_atom_site_label
_atom_site_fract_x
_atom_site_fract_y
_atom_site_fract_z
Pr1 0.233 0.465 0.572
Pr2 0.299 0.599 0.977
Pr3 0.000 0.000 0.500
Pr4 0.701 0.401 0.023
Pr5 0.767 0.535 0.428
Nd1 0.924 0.848 0.117
Nd2 0.041 0.713 0.764
Nd3 0.672 0.713 0.764
Nd4 0.179 0.745 0.319
Nd5 0.567 0.745 0.319
Nd6 0.444 0.888 0.668
Nd7 0.556 0.112 0.332
Nd8 0.821 0.255 0.681
Nd9 0.433 0.255 0.681
Nd10 0.959 0.287 0.236
Nd11 0.328 0.287 0.236
Nd12 0.076 0.152 0.883
Cd1 0.667 0.000 0.000
Cd2 0.333 0.000 0.000
```

# 6
Compound: Pr4Nd3Cd4
Source: Alexandria via LeMat-Bulk
Functional: PBE
Structure: relaxed

Computed properties:
Theoretical density, g/cm3: 6.709
Space-group type: No. 71
ΔE_f, eV/atom: -0.07
V, Å³ per cell: 357.9
Fermi-level density of states, states/eV per atom: 1.099

The structure in CIF format:
```
data_Pr4Nd3Cd4
_chemical_formula_sum 'Pr4 Nd3 Cd4'
_cell_length_a 4.924
_cell_length_b 8.533
_cell_length_c 9.840
_cell_angle_alpha 115.70
_cell_angle_beta 104.49
_cell_angle_gamma 90.00
_space_group_name_H-M_alt 'P 1'
_space_group_IT_number 1
loop_
_space_group_symop_operation_xyz
'x,y,z'
loop_
_atom_site_label
_atom_site_fract_x
_atom_site_fract_y
_atom_site_fract_z
Pr1 0.334 0.134 0.667
Pr2 0.666 0.467 0.333
Pr3 0.666 0.866 0.333
Pr4 0.334 0.533 0.667
Nd1 0.116 0.116 0.231
Nd2 0.884 0.884 0.769
Nd3 0.000 0.500 0.000
Cd1 0.226 0.726 0.453
Cd2 0.774 0.274 0.547
Cd3 0.500 0.830 0.000
Cd4 0.500 0.170 0.000
```

# 7
Compound: Pr3NdCd3
Source: Alexandria via LeMat-Bulk
Functional: PBE
Structure: relaxed

Computed properties:
Theoretical density, g/cm3: 6.778
Space-group type: No. 65
ΔE_f, eV/atom: -0.17
V, Å³ per cell: 443.0
Fermi-level density of states, states/eV per atom: 1.328

The structure in CIF format:
```
data_Pr3NdCd3
_chemical_formula_sum 'Pr6 Nd2 Cd6'
_cell_length_a 7.765
_cell_length_b 7.765
_cell_length_c 7.347
_cell_angle_alpha 90.00
_cell_angle_beta 90.00
_cell_angle_gamma 89.64
_space_group_name_H-M_alt 'P 1'
_space_group_IT_number 1
loop_
_space_group_symop_operation_xyz
'x,y,z'
loop_
_atom_site_label
_atom_site_fract_x
_atom_site_fract_y
_atom_site_fract_z
Pr1 0.745 0.745 0.500
Pr2 0.258 0.742 0.500
Pr3 0.742 0.258 0.500
Pr4 0.260 0.740 0.000
Pr5 0.740 0.260 0.000
Pr6 0.255 0.255 0.500
Nd1 0.744 0.744 0.000
Nd2 0.256 0.256 0.000
Cd1 0.000 0.000 0.246
Cd2 0.000 0.500 0.752
Cd3 0.500 0.000 0.752
Cd4 0.000 0.500 0.248
Cd5 0.500 0.000 0.248
Cd6 0.000 0.000 0.754
```

# 8
Compound: Pr8NdCd6
Source: Alexandria via LeMat-Bulk
Functional: PBE
Structure: relaxed

Computed properties:
Theoretical density, g/cm3: 6.552
Space-group type: No. 148
ΔE_f, eV/atom: -0.10
V, Å³ per cell: 493.2
Fermi-level density of states, states/eV per atom: 1.479

The structure in CIF format:
```
data_Pr8NdCd6
_chemical_formula_sum 'Pr8 Nd1 Cd6'
_cell_length_a 9.287
_cell_length_b 9.287
_cell_length_c 8.506
_cell_angle_alpha 56.91
_cell_angle_beta 56.91
_cell_angle_gamma 60.00
_space_group_name_H-M_alt 'P 1'
_space_group_IT_number 1
loop_
_space_group_symop_operation_xyz
'x,y,z'
loop_
_atom_site_label
_atom_site_fract_x
_atom_site_fract_y
_atom_site_fract_z
Pr1 0.547 0.216 0.355
Pr2 0.784 0.118 0.645
Pr3 0.118 0.453 0.645
Pr4 0.666 0.666 0.001
Pr5 0.334 0.334 0.999
Pr6 0.882 0.547 0.355
Pr7 0.216 0.882 0.355
Pr8 0.453 0.784 0.645
Nd1 0.000 0.000 0.000
Cd1 0.381 0.049 0.853
Cd2 0.951 0.283 0.147
Cd3 0.283 0.619 0.147
Cd4 0.717 0.381 0.853
Cd5 0.049 0.717 0.853
Cd6 0.619 0.951 0.147
```

# 9
Compound: Pr5Nd3Cd
Source: Alexandria via LeMat-Bulk
Functional: PBE
Structure: relaxed

Computed properties:
Theoretical density, g/cm3: 6.263
Space-group type: No. 12
ΔE_f, eV/atom: 0.29
V, Å³ per cell: 662.7
Fermi-level density of states, states/eV per atom: 1.454

The structure in CIF format:
```
data_Pr5Nd3Cd
_chemical_formula_sum 'Pr10 Nd6 Cd2'
_cell_length_a 7.093
_cell_length_b 7.093
_cell_length_c 13.765
_cell_angle_alpha 89.76
_cell_angle_beta 89.76
_cell_angle_gamma 73.09
_space_group_name_H-M_alt 'P 1'
_space_group_IT_number 1
loop_
_space_group_symop_operation_xyz
'x,y,z'
loop_
_atom_site_label
_atom_site_fract_x
_atom_site_fract_y
_atom_site_fract_z
Pr1 0.021 0.468 0.338
Pr2 0.327 0.673 0.000
Pr3 0.764 0.764 0.132
Pr4 0.499 0.499 0.255
Pr5 0.501 0.501 0.745
Pr6 0.236 0.236 0.868
Pr7 0.468 0.021 0.338
Pr8 0.673 0.327 0.000
Pr9 0.979 0.532 0.662
Pr10 0.532 0.979 0.662
Nd1 0.762 0.762 0.879
Nd2 0.634 0.634 0.489
Nd3 0.000 0.000 0.000
Nd4 0.000 0.000 0.500
Nd5 0.238 0.238 0.121
Nd6 0.366 0.366 0.511
Cd1 0.999 0.999 0.740
Cd2 0.001 0.001 0.260
```